[1]
# DyInO3

DyInO3 after structural relaxation (GGA-PBE, the Alexandria database).

abc: 5.5322 5.8527 8.2335
angles: 90.00 90.00 90.00
Fractional positions:
In 0.5000 0.0000 0.0000
In 0.0000 0.5000 0.0000
In 0.0000 0.5000 0.5000
In 0.5000 0.0000 0.5000
O 0.6462 0.0711 0.2500
O 0.1462 0.4289 0.7500
O 0.8538 0.5711 0.2500
O 0.3538 0.9289 0.7500
O 0.1881 0.1911 0.0763
O 0.6881 0.3089 0.9237
O 0.3119 0.6911 0.4237
O 0.8119 0.8089 0.5763
O 0.8119 0.8089 0.9237
O 0.3119 0.6911 0.0763
O 0.6881 0.3089 0.5763
O 0.1881 0.1911 0.4237
Dy 0.0231 0.9362 0.2500
Dy 0.5231 0.5638 0.7500
Dy 0.4769 0.4362 0.2500
Dy 0.9769 0.0638 0.7500

For the energy, the calculation gives -139.4 eV/cell. The symmetry is Pnma (62).

[2]
# Cr2HgPt

Cr2HgPt after structural relaxation (GGA-PBE, the Alexandria database).

abc: 9.2147 9.2147 9.2147
angles: 17.44 17.44 17.44
Fractional positions:
Cr 0.0049 0.0049 0.0049
Cr 0.4951 0.4951 0.4951
Hg 0.2500 0.2500 0.2500
Pt 0.7500 0.7500 0.7500

For the energy, the calculation gives -23.7 eV/cell. The symmetry is R-3m (166). The formation energy comes out at 0.475 eV/atom.

[3]
# Ta2CuAg2Se6

Ta2CuAg2Se6 after structural relaxation (GGA-PBE, the Alexandria database).

abc: 6.5103 6.5103 7.3336
angles: 97.75 97.75 120.04
Fractional positions:
Ta 0.3639 0.6361 0.5000
Ta 0.6361 0.3639 0.5000
Cu 0.0000 0.0000 0.5000
Ag 0.6373 0.3627 0.0000
Ag 0.3627 0.6373 0.0000
Se 0.7183 0.7183 0.7553
Se 0.0400 0.3817 0.6852
Se 0.2817 0.2817 0.2447
Se 0.3817 0.0400 0.6852
Se 0.9600 0.6183 0.3148
Se 0.6183 0.9600 0.3148

For the energy, the calculation gives -58.5 eV/cell. The symmetry is C2/m (12).